TlZnRuCl2: relaxed, PBE-GGA.

Geometry as CIF:
```
data_TlZnRuCl2
_space_group_name_H-M_alt 'P 4/m m m'
_space_group_IT_number 123
_space_group_name_Hall '-P 4 2'
_cell_length_a 4.479
_cell_length_b 4.479
_cell_length_c 7.668
_cell_angle_alpha 90.00
_cell_angle_beta 90.00
_cell_angle_gamma 90.00
loop_
_atom_site_label
_atom_site_fract_x
_atom_site_fract_y
_atom_site_fract_z
_atom_site_occupancy
Tl1 0.000 0.000 0.000 1
Zn1 0.000 0.000 0.500 1
Ru1 0.500 0.500 0.000 1
Cl1 0.000 0.500 0.500 1
```

Properties
Final energy: -14.0 eV for the cell shown
Spin magnetization: 2.33 μB per formula unit
Offset from the most stable computed form: 156.2 meV/atom
Crystal system: tetragonal
ΔE_f (raw): 0.51 eV per atom

Rb3Pm2MgSe6: relaxed, PBE-GGA.

Geometry as CIF:
```
data_Rb3Pm2MgSe6
_space_group_name_H-M_alt 'C 1 2/m 1'
_space_group_IT_number 12
_space_group_name_Hall '-C 2y'
_cell_length_a 7.378
_cell_length_b 12.786
_cell_length_c 8.422
_cell_angle_alpha 90.00
_cell_angle_beta 107.01
_cell_angle_gamma 90.00
loop_
_atom_site_label
_atom_site_fract_x
_atom_site_fract_y
_atom_site_fract_z
_atom_site_occupancy
Rb1 0.000 0.000 0.000 1
Rb2 0.000 0.332 0.000 1
Pm1 0.000 0.166 0.500 1
Mg1 0.000 0.500 0.500 1
Se1 0.227 0.339 0.696 1
Se2 0.243 0.000 0.697 1
```

Properties
Final energy: -104.2 eV for the cell shown
Spin magnetization: 0.00 μB per formula unit
Crystal system: monoclinic
ΔE_f (raw): -1.43 eV per atom

IrRhN: relaxed, PBE-GGA.

Geometry as CIF:
```
data_IrRhN
_space_group_name_H-M_alt 'I 4/m m m'
_space_group_IT_number 139
_space_group_name_Hall '-I 4 2'
_cell_length_a 2.965
_cell_length_b 2.965
_cell_length_c 17.247
_cell_angle_alpha 90.00
_cell_angle_beta 90.00
_cell_angle_gamma 90.00
loop_
_atom_site_label
_atom_site_fract_x
_atom_site_fract_y
_atom_site_fract_z
_atom_site_occupancy
Ir1 0.000 0.000 0.201 1
Rh1 0.000 0.000 0.420 1
N1 0.000 0.000 0.088 1
```

Properties
Final energy: -91.4 eV for the cell shown
Spin magnetization: 0.00 μB per formula unit
Crystal system: tetragonal
ΔE_f (raw): 0.56 eV per atom